PmAlCuGe: optimized geometry, PBE-GGA.

Calculated values
total energy: -4.504 eV/atom
formation energy from the elements: -0.202 eV per atom

abc: 6.7869 6.7869 6.7869
angles: 90.00 90.00 90.00
Space group F-43m (No. 216)
Unique sites:
Pm 0.0000 0.0000 0.0000 [4 per cell]
Al 0.0000 0.0000 0.5000 [4 per cell]
Cu 0.2500 0.2500 0.2500 [4 per cell]
Ge 0.2500 0.2500 0.7500 [4 per cell]